Below is crystalline ZrCo2H2 at its relaxed geometry, with properties calculated at the GGA-PBE level.

Cell lengths 3.349, 3.349, 4.759 Å; angles 69.40, 69.40, 90.00 degrees
Sites, in units of the cell vectors:
H1 0.750 0.250 0.500
H2 0.250 0.750 0.500
Co1 0.337 0.337 0.327
Co2 0.663 0.663 0.673
Zr1 0.000 0.000 0.000

**E_tot**: -6.042 eV per atom
**Magnetization**: 0.121 μB per atom

Below is crystalline KCaTl2F6 at its relaxed geometry, with properties calculated at the GGA-PBE level.

Cell lengths 6.250, 6.721, 9.099 Å; angles 90.00, 89.00, 90.00 degrees
Sites, in units of the cell vectors:
K1 0.500 0.000 0.000
K2 0.000 0.500 0.500
Ca1 0.500 0.000 0.500
Ca2 0.000 0.500 0.000
Tl1 0.012 0.956 0.273
Tl2 0.512 0.544 0.773
Tl3 0.988 0.044 0.727
Tl4 0.488 0.456 0.227
F1 0.318 0.656 0.030
F2 0.818 0.844 0.530
F3 0.682 0.344 0.970
F4 0.182 0.156 0.470
F5 0.326 0.740 0.384
F6 0.826 0.760 0.884
F7 0.674 0.260 0.616
F8 0.174 0.240 0.116
F9 0.854 0.606 0.221
F10 0.354 0.894 0.721
F11 0.146 0.394 0.779
F12 0.646 0.106 0.279

**Magnetization**: 0.000 μB per atom
**Raw formation energy**: -2.557 eV/atom

Below is crystalline Ba2GaSn at its relaxed geometry, with properties calculated at the GGA-PBE level.

Cell lengths 4.141, 5.974, 5.974 Å; angles 90.00, 90.00, 90.00 degrees
Sites, in units of the cell vectors:
Ba1 0.000 0.000 0.500
Ba2 0.000 0.500 0.000
Ga1 0.500 0.500 0.500
Sn1 0.500 0.000 0.000

**Polymorph energy (0 for the lowest one)**: 128.5 meV/atom
**Magnetization**: 0.000 μB per atom
**DFT formation energy**: -0.41 eV/atom

Below is crystalline La4IrOs at its relaxed geometry, with properties calculated at the GGA-PBE level.

Cell lengths 6.005, 6.005, 6.005 Å; angles 60.00, 60.00, 60.00 degrees
Sites, in units of the cell vectors:
La1 0.874 0.375 0.375
La2 0.375 0.375 0.874
La3 0.375 0.874 0.375
La4 0.375 0.375 0.375
Ir1 0.000 0.000 0.000
Os1 0.750 0.750 0.750

**Polymorph energy (0 for the lowest one)**: 1337.2 meV/atom
**Magnetization**: 0.000 μB per atom
**DFT formation energy**: 0.95 eV/atom

Below is crystalline CeBeH6 at its relaxed geometry, with properties calculated at the GGA-PBE level.

Cell lengths 3.967, 3.967, 3.996 Å; angles 98.01, 98.01, 98.88 degrees
Sites, in units of the cell vectors:
Ce1 0.500 0.500 0.500
Be1 0.000 0.000 0.000
H1 0.942 0.287 0.288
H2 0.287 0.942 0.288
H3 0.713 0.058 0.712
H4 0.058 0.713 0.712
H5 0.709 0.709 0.053
H6 0.291 0.291 0.947

**E_tot**: -3.934 eV per atom
**Magnetization**: 0.000 μB per atom

Below is crystalline Nb2Al2Fe15 at its relaxed geometry, with properties calculated at the GGA-PBE level.

Cell lengths 6.263, 6.263, 6.263 Å; angles 81.51, 81.51, 81.51 degrees
Sites, in units of the cell vectors:
Nb1 0.352 0.352 0.352
Nb2 0.648 0.648 0.648
Al1 0.105 0.105 0.105
Al2 0.895 0.895 0.895
Fe1 0.500 0.000 0.000
Fe2 0.000 0.000 0.500
Fe3 0.000 0.500 0.000
Fe4 0.000 0.684 0.316
Fe5 0.684 0.316 0.000
Fe6 0.316 0.000 0.684
Fe7 0.316 0.684 0.000
Fe8 0.684 0.000 0.316
Fe9 0.000 0.316 0.684
Fe10 0.164 0.656 0.656
Fe11 0.656 0.656 0.164
Fe12 0.656 0.164 0.656
Fe13 0.836 0.344 0.344
Fe14 0.344 0.344 0.836
Fe15 0.344 0.836 0.344

**Magnetization**: 1.474 μB per atom
**DFT formation energy**: -0.01 eV/atom

Below is crystalline Rb3Dy2YO6 at its relaxed geometry, with properties calculated at the GGA-PBE level.

Cell lengths 6.087, 6.087, 6.870 Å; angles 98.49, 98.49, 120.00 degrees
Sites, in units of the cell vectors:
Rb1 0.167 0.833 0.500
Rb2 0.833 0.167 0.500
Rb3 0.500 0.500 0.500
Dy1 0.333 0.667 0.000
Dy2 0.667 0.333 0.000
Y1 0.000 0.000 0.000
O1 0.941 0.607 0.824
O2 0.724 0.724 0.175
O3 0.059 0.393 0.176
O4 0.607 0.941 0.824
O5 0.276 0.276 0.825
O6 0.393 0.059 0.176

**Magnetization**: 0.000 μB per atom
**Raw formation energy**: -2.691 eV/atom

Below is crystalline Nd3ScGa2 at its relaxed geometry, with properties calculated at the GGA-PBE level.

Cell lengths 6.494, 6.424, 9.095 Å; angles 110.68, 110.92, 90.00 degrees
Sites, in units of the cell vectors:
Nd1 0.423 0.680 0.359
Nd2 0.577 0.320 0.641
Nd3 0.064 0.820 0.641
Nd4 0.936 0.180 0.359
Nd5 0.500 0.750 0.000
Nd6 0.500 0.250 0.000
Sc1 0.000 0.250 0.000
Sc2 0.000 0.750 0.000
Ga1 0.356 0.127 0.254
Ga2 0.644 0.873 0.746
Ga3 0.103 0.373 0.746
Ga4 0.897 0.627 0.254

**Polymorph energy (0 for the lowest one)**: 0.0 meV/atom
**Magnetization**: 0.109 μB per atom
**DFT formation energy**: -0.37 eV/atom